DFT (PBE) results for an optimized crystal structure of PrDyHg3.

Structure (POSCAR):
```
PrDyHg3
1.0
3.582 0.000 -0.493
0.000 4.987 0.000
0.211 0.000 14.786
Pr Hg Dy
2 6 2
direct
0.924 0.750 0.848
0.076 0.250 0.152
0.316 0.750 0.633
0.476 0.250 0.951
0.684 0.250 0.367
0.624 0.750 0.247
0.376 0.250 0.753
0.524 0.750 0.049
0.790 0.250 0.579
0.210 0.750 0.421
```

Output
As for the space group: No. 63. For the calculated formation energy, the calculation gives -0.4311 eV per atom.

***

DFT (PBE) results for an optimized crystal structure of MnCrPdN.

Structure (POSCAR):
```
MnCrPdN
1.0
-0.836 0.480 -2.467
-2.434 -0.847 0.660
-3.111 11.513 3.295
Mn Pd N Cr
2 2 2 2
direct
0.500 0.500 0.403
0.500 0.000 0.903
0.000 0.000 0.229
0.000 0.500 0.729
0.000 0.500 0.959
0.000 0.000 0.459
0.500 0.000 0.578
0.500 0.500 0.078
```

Output
As for the uncorrected formation energy: -85 meV/atom. As for the space group: No. 38.

***

DFT (PBE) results for an optimized crystal structure of LaMn2Br.

Structure (POSCAR):
```
LaMn2Br
1.0
5.311 -0.263 -0.487
1.432 5.121 0.487
-2.757 -3.281 3.185
La Mn Br
1 2 1
direct
0.255 0.755 0.500
0.986 0.986 0.000
0.731 0.231 0.500
0.528 0.528 0.000
```

Output
As for the uncorrected formation energy: 252 meV/atom. As for the space group: No. 44.

***

DFT (PBE) results for an optimized crystal structure of NdSmNi3.

Structure (POSCAR):
```
NdSmNi3
1.0
-0.793 -1.361 -3.719
0.426 -3.733 1.276
-12.177 1.428 2.075
Ni Nd Sm
6 2 2
direct
0.750 0.620 0.239
0.750 0.524 0.049
0.750 0.327 0.654
0.250 0.380 0.761
0.250 0.673 0.346
0.250 0.476 0.951
0.750 0.929 0.859
0.250 0.071 0.141
0.750 0.202 0.405
0.250 0.798 0.595
```

Output
As for the space group: No. 63. For the calculated formation energy, the calculation gives -0.3375 eV per atom.

***

DFT (PBE) results for an optimized crystal structure of SrTlCdAg.

Structure (POSCAR):
```
SrTlCdAg
1.0
-5.294 -0.234 0.332
-2.310 -1.541 4.525
-2.632 3.525 2.972
Tl Cd Sr Ag
1 1 1 1
direct
0.500 0.500 0.500
0.750 0.750 0.750
0.250 0.250 0.250
0.000 0.000 0.000
```

Output
As for the space group: No. 216. For the calculated formation energy, the calculation gives -0.1967 eV per atom.

***

DFT (PBE) results for an optimized crystal structure of Zr2Ga2Sn.

Structure (POSCAR):
```
Zr2Ga2Sn
1.0
-2.267 -0.573 2.774
1.161 -3.428 0.240
5.215 0.316 6.699
Ga Zr Sn
2 2 1
direct
0.750 0.250 0.500
0.250 0.750 0.500
0.392 0.392 0.216
0.608 0.608 0.784
0.000 0.000 0.000
```

Output
As for the space group: No. 139. For the calculated formation energy, the calculation gives -0.2402 eV per atom.

***

Number 1: V 264.7 Å³/cell. Number 2: V 87.2 Å³/cell. Number 3: V 92.1 Å³/cell. Number 4: V 196.7 Å³/cell. Number 5: V 105.8 Å³/cell. Number 6: V 106.6 Å³/cell.